Entry 1:
This record from Alexandria describes a relaxed CeSiRh crystal. The functional is PBE.

a b c (Å): 5.0691 5.0691 5.0691
angles (deg): 135.66 135.66 64.51
Fractional positions:
Ce (0.0000, 0.0000, 0.0000)
Si (0.3314, 0.3314, 0.0000)
Rh (0.6111, 0.6111, 0.0000)

* calculated total energy: -6.600 eV/atom

=====

Entry 2:
This record from Alexandria describes a relaxed CeSi3Rh5 crystal. The functional is PBE.

a b c (Å): 6.4579 6.4579 12.2419
angles (deg): 90.00 90.00 144.52
Fractional positions:
Ce (0.1637, 0.8363, 0.7500)
Ce (0.8363, 0.1637, 0.2500)
Si (0.1089, 0.8911, 0.2500)
Si (0.3842, 0.6158, 0.0396)
Si (0.3842, 0.6158, 0.4604)
Si (0.6158, 0.3842, 0.5396)
Si (0.6158, 0.3842, 0.9604)
Si (0.8911, 0.1089, 0.7500)
Rh (0.0000, 0.0000, 0.0000)
Rh (0.0000, 0.0000, 0.5000)
Rh (0.2028, 0.7972, 0.0749)
Rh (0.2028, 0.7972, 0.4251)
Rh (0.4492, 0.5508, 0.6441)
Rh (0.4492, 0.5508, 0.8559)
Rh (0.5508, 0.4492, 0.1441)
Rh (0.5508, 0.4492, 0.3559)
Rh (0.7972, 0.2028, 0.5749)
Rh (0.7972, 0.2028, 0.9251)

* calculated total energy: -7.340 eV/atom

=====

Entry 3:
This record from Alexandria describes a relaxed Ce3Si4Rh2 crystal. The functional is PBE.

a b c (Å): 5.9440 5.9440 8.1433
angles (deg): 109.00 109.00 40.60
Fractional positions:
Ce (0.0000, 0.0000, 0.0000)
Ce (0.3924, 0.3924, 0.3169)
Ce (0.6076, 0.6076, 0.6831)
Si (0.1020, 0.1020, 0.3922)
Si (0.2780, 0.2780, 0.9304)
Si (0.7220, 0.7220, 0.0696)
Si (0.8980, 0.8980, 0.6078)
Rh (0.3024, 0.3024, 0.6441)
Rh (0.6976, 0.6976, 0.3559)

* calculated total energy: -6.904 eV/atom